# 1
Compound: TaPdO2
Source: Alexandria
Functional: SCAN
Structure: single point on PBEsol structure

Cell lengths 6.8917, 6.8917, 6.8917 Å; angles 24.06, 24.06, 24.06 degrees
Fractional positions:
Ta  0.0000  0.0000  0.0000
Pd  0.5000  0.5000  0.5000
O  0.3984  0.3984  0.3984
O  0.6016  0.6016  0.6016

Summary:
- VASP energy (eV per cell) = -118.22



# 2
Compound: ZnSiPt2F
Source: Alexandria
Functional: SCAN
Structure: single point on PBEsol structure

Cell lengths 4.3998, 4.3998, 4.7212 Å; angles 90.00, 90.00, 90.00 degrees
Fractional positions:
Zn  0.0000  0.0000  0.0000
Si  0.0000  0.0000  0.5000
Pt  0.0000  0.5000  0.5000
Pt  0.5000  0.0000  0.5000
F  0.5000  0.5000  0.0000

Summary:
- VASP energy (eV per cell) = -166.70



# 3
Compound: Sc2InPt
Source: Alexandria
Functional: SCAN
Structure: single point on PBEsol structure

Cell lengths 4.6986, 4.6986, 4.6986 Å; angles 60.00, 60.00, 60.00 degrees
Fractional positions:
Sc  0.0000  0.0000  0.0000
Sc  0.2500  0.2500  0.2500
In  0.5000  0.5000  0.5000
Pt  0.7500  0.7500  0.7500

Summary:
- VASP energy (eV per cell) = -135.17



# 4
Compound: Pm2RuRh
Source: Alexandria
Functional: SCAN
Structure: single point on PBEsol structure

Cell lengths 4.8666, 4.8666, 4.8666 Å; angles 60.00, 60.00, 60.00 degrees
Fractional positions:
Pm  0.2500  0.2500  0.2500
Pm  0.7500  0.7500  0.7500
Ru  0.0000  0.0000  0.0000
Rh  0.5000  0.5000  0.5000

Summary:
- VASP energy (eV per cell) = -158.53



Question: Which value of VASP energy does entry 4 give?
Answer: -158.53 eV per cell